The following is a DFT calculation (PBE) of a geometry-optimized Be3HgP structure.

a = 4.201 Å, b = 4.201 Å, c = 4.201 Å
α = 90.00°, β = 90.00°, γ = 90.00°
Atoms (fractional coordinates):
Be 0.000 0.000 0.500
Be 0.000 0.500 0.000
Be 0.500 0.000 0.000
Hg 0.500 0.500 0.500
P 0.000 0.000 0.000

Values from the calculation:
energy relative to the elements	0.604	eV per atom
magnetic moment	0.00	μB per formula unit
space group	Pm-3m, No. 221
excess energy over the best structure of this formula in the dataset	0	meV/atom

The following is a DFT calculation (PBE) of a geometry-optimized Bi5IrRh structure.

a = 7.012 Å, b = 7.012 Å, c = 9.204 Å
α = 107.88°, β = 107.88°, γ = 74.58°
Atoms (fractional coordinates):
Bi 0.069 0.759 0.361
Bi 0.241 0.931 0.139
Bi 0.246 0.754 0.750
Bi 0.308 0.371 0.930
Bi 0.371 0.308 0.430
Bi 0.629 0.692 0.570
Bi 0.692 0.629 0.070
Bi 0.754 0.246 0.250
Bi 0.759 0.069 0.861
Bi 0.931 0.241 0.639
Ir 0.000 0.500 0.500
Ir 0.500 0.000 0.000
Rh 0.425 0.575 0.250
Rh 0.575 0.425 0.750

Values from the calculation:
energy relative to the elements	0.098	eV per atom
magnetic moment	0.00	μB per formula unit
space group	C2/c, No. 15

The following is a DFT calculation (PBE) of a geometry-optimized Pm12GeSb6 structure.

a = 8.786 Å, b = 8.786 Å, c = 8.786 Å
α = 99.10°, β = 99.10°, γ = 99.10°
Atoms (fractional coordinates):
Pm 0.016 0.675 0.937
Pm 0.063 0.984 0.325
Pm 0.193 0.421 0.557
Pm 0.325 0.063 0.984
Pm 0.421 0.557 0.193
Pm 0.443 0.807 0.579
Pm 0.557 0.193 0.421
Pm 0.579 0.443 0.807
Pm 0.675 0.937 0.016
Pm 0.807 0.579 0.443
Pm 0.937 0.016 0.675
Pm 0.984 0.325 0.063
Ge 0.000 0.000 0.000
Sb 0.123 0.641 0.310
Sb 0.310 0.123 0.641
Sb 0.359 0.690 0.877
Sb 0.641 0.310 0.123
Sb 0.690 0.877 0.359
Sb 0.877 0.359 0.690

Values from the calculation:
E_tot	-99.7	eV/cell
magnetic moment	0.00	μB per formula unit
space group	R-3, No. 148

The following is a DFT calculation (PBE) of a geometry-optimized HfPI structure.

a = 3.637 Å, b = 3.761 Å, c = 12.212 Å
α = 90.08°, β = 98.45°, γ = 90.00°
Atoms (fractional coordinates):
Hf 0.000 0.000 0.000
Hf 0.371 0.499 0.737
P 0.484 0.500 0.967
P 0.893 0.999 0.783
I 0.112 0.001 0.226
I 0.775 0.498 0.542

Values from the calculation:
magnetic moment	0.00	μB per formula unit
space group	P1, No. 1
excess energy over the best structure of this formula in the dataset	79	meV/atom

The following is a DFT calculation (PBE) of a geometry-optimized MgSn2Os structure.

a = 10.120 Å, b = 10.120 Å, c = 10.120 Å
α = 18.38°, β = 18.38°, γ = 18.38°
Atoms (fractional coordinates):
Mg 0.000 0.000 0.000
Sn 0.099 0.099 0.099
Sn 0.901 0.901 0.901
Os 0.500 0.500 0.500

Values from the calculation:
energy relative to the elements	0.286	eV per atom
magnetic moment	0.00	μB per formula unit
space group	R-3m, No. 166

The following is a DFT calculation (PBE) of a geometry-optimized Pm8AlPb6 structure.

a = 8.477 Å, b = 8.477 Å, c = 8.477 Å
α = 67.82°, β = 67.82°, γ = 67.82°
Atoms (fractional coordinates):
Pm 0.137 0.679 0.399
Pm 0.168 0.168 0.168
Pm 0.321 0.601 0.863
Pm 0.399 0.137 0.679
Pm 0.601 0.863 0.321
Pm 0.679 0.399 0.137
Pm 0.832 0.832 0.832
Pm 0.863 0.321 0.601
Al 0.500 0.500 0.500
Pb 0.051 0.427 0.798
Pb 0.202 0.949 0.573
Pb 0.427 0.798 0.051
Pb 0.573 0.202 0.949
Pb 0.798 0.051 0.427
Pb 0.949 0.573 0.202

Values from the calculation:
energy relative to the elements	-0.394	eV per atom
magnetic moment	0.00	μB per formula unit
space group	R-3, No. 148

The following is a DFT calculation (PBE) of a geometry-optimized Li2PmSbTe4 structure.

a = 7.469 Å, b = 4.396 Å, c = 7.644 Å
α = 90.00°, β = 109.72°, γ = 90.00°
Atoms (fractional coordinates):
Li 0.000 0.000 0.000
Li 0.000 0.500 0.500
Pm 0.500 0.000 0.500
Sb 0.500 0.500 0.000
Te 0.240 0.500 0.241
Te 0.242 0.000 0.754
Te 0.758 0.000 0.246
Te 0.760 0.500 0.759

Values from the calculation:
E_tot	-32.2	eV/cell
magnetic moment	0.00	μB per formula unit
space group	P2/m, No. 10

The following is a DFT calculation (PBE) of a geometry-optimized Pm6PrSm2Ho structure.

a = 8.959 Å, b = 8.959 Å, c = 9.792 Å
α = 94.01°, β = 94.01°, γ = 117.83°
Atoms (fractional coordinates):
Pm 0.014 0.568 0.187
Pm 0.121 0.751 0.555
Pm 0.249 0.879 0.945
Pm 0.294 0.507 0.381
Pm 0.432 0.986 0.313
Pm 0.493 0.706 0.119
Pm 0.507 0.294 0.881
Pm 0.568 0.014 0.687
Pm 0.706 0.493 0.619
Pm 0.751 0.121 0.055
Pm 0.879 0.249 0.445
Pm 0.986 0.432 0.813
Pr 0.022 0.978 0.250
Pr 0.978 0.022 0.750
Sm 0.199 0.300 0.045
Sm 0.300 0.199 0.545
Sm 0.700 0.801 0.455
Sm 0.801 0.700 0.955
Ho 0.409 0.591 0.750
Ho 0.591 0.409 0.250

Values from the calculation:
energy relative to the elements	0.113	eV per atom
magnetic moment	0.00	μB per formula unit
space group	C2/c, No. 15

The following is a DFT calculation (PBE) of a geometry-optimized Li2CuNi structure.

a = 5.185 Å, b = 5.185 Å, c = 4.927 Å
α = 104.55°, β = 104.55°, γ = 121.08°
Atoms (fractional coordinates):
Li 0.043 0.455 0.247
Li 0.455 0.043 0.747
Li 0.545 0.957 0.253
Li 0.957 0.545 0.753
Cu 0.466 0.534 0.750
Cu 0.534 0.466 0.250
Ni 0.032 0.968 0.250
Ni 0.968 0.032 0.750

Values from the calculation:
energy relative to the elements	-0.011	eV per atom
magnetic moment	0.00	μB per formula unit
space group	C2/c, No. 15
excess energy over the best structure of this formula in the dataset	1	meV/atom

The following is a DFT calculation (PBE) of a geometry-optimized Sc3TiGe structure.

a = 4.912 Å, b = 4.912 Å, c = 4.912 Å
α = 90.00°, β = 90.00°, γ = 90.00°
Atoms (fractional coordinates):
Sc 0.000 0.000 0.500
Sc 0.000 0.500 0.000
Sc 0.500 0.000 0.000
Ti 0.000 0.000 0.000
Ge 0.500 0.500 0.500

Values from the calculation:
energy relative to the elements	0.613	eV per atom
magnetic moment	0.00	μB per formula unit
space group	Pm-3m, No. 221
excess energy over the best structure of this formula in the dataset	353	meV/atom

The following is a DFT calculation (PBE) of a geometry-optimized SmMgZnAg structure.

a = 4.958 Å, b = 4.958 Å, c = 4.958 Å
α = 60.00°, β = 60.00°, γ = 60.00°
Atoms (fractional coordinates):
Sm 0.000 0.000 0.000
Mg 0.500 0.500 0.500
Zn 0.250 0.250 0.250
Ag 0.750 0.750 0.750

Values from the calculation:
energy relative to the elements	-0.317	eV per atom
magnetic moment	0.00	μB per formula unit
space group	F-43m, No. 216

The following is a DFT calculation (PBE) of a geometry-optimized UFeTe2 structure.

a = 9.349 Å, b = 9.349 Å, c = 9.349 Å
α = 25.00°, β = 25.00°, γ = 25.00°
Atoms (fractional coordinates):
U 0.000 0.000 0.000
Fe 0.500 0.500 0.500
Te 0.407 0.407 0.407
Te 0.593 0.593 0.593

Values from the calculation:
E_tot	-25.1	eV/cell
magnetic moment	0.06	μB per formula unit
space group	R-3m, No. 166

The following is a DFT calculation (PBE) of a geometry-optimized TmScTeP structure.

a = 7.316 Å, b = 7.316 Å, c = 7.316 Å
α = 31.24°, β = 31.24°, γ = 31.24°
Atoms (fractional coordinates):
Tm 0.000 0.000 0.000
Sc 0.805 0.805 0.805
Te 0.232 0.232 0.232
P 0.408 0.408 0.408

Values from the calculation:
E_tot	-25.0	eV/cell
magnetic moment	0.00	μB per formula unit
space group	R3m, No. 160

The following is a DFT calculation (PBE) of a geometry-optimized Nd3Zn3Ni2 structure.

a = 5.494 Å, b = 5.494 Å, c = 15.269 Å
α = 90.00°, β = 90.00°, γ = 133.32°
Atoms (fractional coordinates):
Nd 0.082 0.918 0.604
Nd 0.082 0.918 0.896
Nd 0.369 0.631 0.750
Nd 0.631 0.369 0.250
Nd 0.918 0.082 0.104
Nd 0.918 0.082 0.396
Zn 0.334 0.666 0.250
Zn 0.369 0.631 0.538
Zn 0.369 0.631 0.962
Zn 0.631 0.369 0.038
Zn 0.631 0.369 0.462
Zn 0.666 0.334 0.750
Ni 0.207 0.793 0.106
Ni 0.207 0.793 0.394
Ni 0.793 0.207 0.606
Ni 0.793 0.207 0.894

Values from the calculation:
energy relative to the elements	-0.342	eV per atom
magnetic moment	0.00	μB per formula unit
space group	Cmcm, No. 63
excess energy over the best structure of this formula in the dataset	0	meV/atom

The following is a DFT calculation (PBE) of a geometry-optimized CeNi2Rh3 structure.

a = 7.408 Å, b = 7.408 Å, c = 7.408 Å
α = 44.43°, β = 44.43°, γ = 44.43°
Atoms (fractional coordinates):
Ce 0.222 0.222 0.222
Ce 0.778 0.778 0.778
Ni 0.000 0.000 0.000
Ni 0.000 0.500 0.500
Ni 0.500 0.000 0.500
Ni 0.500 0.500 0.000
Rh 0.235 0.726 0.726
Rh 0.274 0.274 0.765
Rh 0.274 0.765 0.274
Rh 0.726 0.235 0.726
Rh 0.726 0.726 0.235
Rh 0.765 0.274 0.274

Values from the calculation:
energy relative to the elements	-0.268	eV per atom
magnetic moment	0.86	μB per formula unit
space group	R-3m, No. 166

The following is a DFT calculation (PBE) of a geometry-optimized YGa12Rh6 structure.

a = 7.157 Å, b = 7.157 Å, c = 7.157 Å
α = 105.01°, β = 105.01°, γ = 105.01°
Atoms (fractional coordinates):
Y 0.000 0.000 0.000
Ga 0.114 0.500 0.886
Ga 0.114 0.886 0.500
Ga 0.135 0.402 0.402
Ga 0.402 0.135 0.402
Ga 0.402 0.402 0.135
Ga 0.500 0.114 0.886
Ga 0.500 0.886 0.114
Ga 0.598 0.598 0.865
Ga 0.598 0.865 0.598
Ga 0.865 0.598 0.598
Ga 0.886 0.114 0.500
Ga 0.886 0.500 0.114
Rh 0.277 0.277 0.702
Rh 0.277 0.702 0.277
Rh 0.298 0.723 0.723
Rh 0.702 0.277 0.277
Rh 0.723 0.298 0.723
Rh 0.723 0.723 0.298

Values from the calculation:
energy relative to the elements	-0.514	eV per atom
magnetic moment	0.00	μB per formula unit
space group	R-3m, No. 166

The following is a DFT calculation (PBE) of a geometry-optimized Rb2Tl2Cd structure.

a = 8.143 Å, b = 8.143 Å, c = 6.206 Å
α = 90.00°, β = 90.00°, γ = 90.00°
Atoms (fractional coordinates):
Rb 0.180 0.320 0.000
Rb 0.320 0.820 0.000
Rb 0.680 0.180 0.000
Rb 0.820 0.680 0.000
Tl 0.133 0.633 0.500
Tl 0.367 0.133 0.500
Tl 0.633 0.867 0.500
Tl 0.867 0.367 0.500
Cd 0.000 0.000 0.500
Cd 0.500 0.500 0.500

Values from the calculation:
energy relative to the elements	-0.003	eV per atom
magnetic moment	0.00	μB per formula unit
space group	P4/mbm, No. 127
excess energy over the best structure of this formula in the dataset	52	meV/atom

The following is a DFT calculation (PBE) of a geometry-optimized Sr3NbCu structure.

a = 5.816 Å, b = 5.816 Å, c = 5.816 Å
α = 90.00°, β = 90.00°, γ = 90.00°
Atoms (fractional coordinates):
Sr 0.000 0.000 0.500
Sr 0.000 0.500 0.000
Sr 0.500 0.000 0.000
Nb 0.500 0.500 0.500
Cu 0.000 0.000 0.000

Values from the calculation:
energy relative to the elements	0.740	eV per atom
magnetic moment	4.38	μB per formula unit
space group	Pm-3m, No. 221
excess energy over the best structure of this formula in the dataset	0	meV/atom

The following is a DFT calculation (PBE) of a geometry-optimized Nd12Ni6Ru structure.

a = 8.212 Å, b = 8.212 Å, c = 8.212 Å
α = 97.75°, β = 97.75°, γ = 97.75°
Atoms (fractional coordinates):
Nd 0.049 0.678 0.911
Nd 0.089 0.951 0.322
Nd 0.183 0.411 0.578
Nd 0.322 0.089 0.951
Nd 0.411 0.578 0.183
Nd 0.422 0.817 0.589
Nd 0.578 0.183 0.411
Nd 0.589 0.422 0.817
Nd 0.678 0.911 0.049
Nd 0.817 0.589 0.422
Nd 0.911 0.049 0.678
Nd 0.951 0.322 0.089
Ni 0.129 0.613 0.313
Ni 0.313 0.129 0.613
Ni 0.387 0.687 0.871
Ni 0.613 0.313 0.129
Ni 0.687 0.871 0.387
Ni 0.871 0.387 0.687
Ru 0.000 0.000 0.000

Values from the calculation:
energy relative to the elements	-0.121	eV per atom
magnetic moment	0.00	μB per formula unit
space group	R-3, No. 148

The following is a DFT calculation (PBE) of a geometry-optimized BaSiMo2 structure.

a = 4.873 Å, b = 4.873 Å, c = 4.873 Å
α = 60.00°, β = 60.00°, γ = 60.00°
Atoms (fractional coordinates):
Ba 0.000 0.000 0.000
Si 0.750 0.750 0.750
Mo 0.250 0.250 0.250
Mo 0.500 0.500 0.500

Values from the calculation:
E_tot	-24.9	eV/cell
magnetic moment	0.40	μB per formula unit
space group	F-43m, No. 216